Entry 1:
## Tl12Sb5Au2 (PBE)

Data for an optimized crystal structure of Tl12Sb5Au2.

Summary:
E_form (uncorrected) ... 0.030 eV per atom
Magnetization ... 0.00 μB per cell

extended XYZ file:
```
19
Lattice="7.912 0.000 0.000 -3.956 8.561 -0.501 0.000 -0.809 8.753" Properties=species:S:1:pos:R:3 pbc="T T T"
Tl 3.956 7.034 6.779
Tl -2.345 5.686 0.585
Tl 0.000 7.757 2.235
Tl 2.067 2.152 3.929
Tl 6.301 2.066 7.667
Tl 3.956 -0.005 6.018
Tl 5.845 2.152 3.929
Tl 0.000 0.718 1.473
Tl 2.345 5.686 0.585
Tl 1.889 5.601 4.324
Tl 1.611 2.066 7.667
Tl -1.888 5.600 4.324
Sb 3.956 2.151 1.215
Sb 0.000 3.915 2.066
Sb 0.000 5.601 7.037
Sb 0.000 -0.405 4.377
Sb 3.956 3.837 6.187
Au 2.487 0.000 0.000
Au 1.469 7.752 8.252
```

Entry 2:
## TlSb2Au (PBE)

Data for an optimized crystal structure of TlSb2Au.

Summary:
E_form (uncorrected) ... 0.076 eV per atom
Magnetization ... 0.00 μB per cell

extended XYZ file:
```
4
Lattice="3.803 0.000 0.000 0.000 3.803 0.000 0.000 0.000 7.519" Properties=species:S:1:pos:R:3 pbc="T T T"
Sb 0.000 0.000 4.214
Sb 0.000 0.000 7.065
Au 1.902 1.902 5.640
Tl 1.902 1.902 1.880
```

Entry 3:
## Tl2SbAu (PBE)

Data for an optimized crystal structure of Tl2SbAu.

Summary:
E_form (uncorrected) ... -0.077 eV per atom
Magnetization ... 0.00 μB per cell

extended XYZ file:
```
4
Lattice="-3.225 -3.326 0.833 -1.173 -3.038 -3.399 3.225 -6.178 1.143" Properties=species:S:1:pos:R:3 pbc="T T T"
Tl -1.175 -9.150 -1.193
Tl -4.163 -6.567 -2.466
Au -1.021 -5.897 -0.897
Sb 0.201 -3.563 -0.145
```